(P)
Material: HfInP2S
Method: DFT, PBE
State: optimized geometry

Results
- Crystal system: tetragonal
- M_tot: 0.000 μB/f.u.

Cell: 4.8604 4.8604 4.8889 Å, 90.00 90.00 90.00°
Last column: nearest neighbours and their distance in Å.
Atoms (fractional coordinates):
Hf: 0.0000 0.0000 0.0000  4 S 3.44, 8 P 3.45
In: 0.5000 0.5000 0.5000  4 P 2.43, 2 S 2.44
P: 0.0000 0.5000 0.5000  2 In 2.43
P: 0.5000 0.0000 0.5000  2 In 2.43
S: 0.5000 0.5000 0.0000  2 In 2.44



(Q)
Material: HfInP2S
Method: DFT, PBE
State: optimized geometry

Results
- Crystal system: tetragonal
- M_tot: 0.000 μB/f.u.

Cell: 5.0577 5.0577 4.9068 Å, 90.00 90.00 90.00°
Last column: nearest neighbours and their distance in Å.
Atoms (fractional coordinates):
Hf: 0.0000 0.0000 0.0000  2 S 2.45, 4 P 2.53
In: 0.5000 0.5000 0.5000  8 P 3.52, 4 S 3.58
P: 0.0000 0.5000 0.0000  2 Hf 2.53
P: 0.5000 0.0000 0.0000  2 Hf 2.53
S: 0.0000 0.0000 0.5000  2 Hf 2.45



So which one is most stable? That would be (Q), about 953 meV per atom below the next structure.



(P)
Material: HfInPS2
Method: DFT, PBE
State: optimized geometry

Results
- Crystal system: tetragonal
- M_tot: 0.000 μB/f.u.

Cell: 4.9278 4.9278 5.1450 Å, 90.00 90.00 90.00°
Last column: nearest neighbours and their distance in Å.
Atoms (fractional coordinates):
Hf: 0.0000 0.0000 0.0000  4 S 2.46, 2 P 2.57
In: 0.5000 0.5000 0.5000  4 P 3.48, 8 S 3.56
P: 0.0000 0.0000 0.5000  2 Hf 2.57
S: 0.0000 0.5000 0.0000  2 Hf 2.46
S: 0.5000 0.0000 0.0000  2 Hf 2.46



(Q)
Material: HfInPS2
Method: DFT, PBE
State: optimized geometry

Results
- Crystal system: tetragonal
- M_tot: 0.000 μB/f.u.

Cell: 4.8419 4.8419 4.9484 Å, 90.00 90.00 90.00°
Last column: nearest neighbours and their distance in Å.
Atoms (fractional coordinates):
Hf: 0.0000 0.0000 0.0000  4 P 3.42, 8 S 3.46
In: 0.5000 0.5000 0.5000  4 S 2.42, 2 P 2.47
P: 0.5000 0.5000 0.0000  2 In 2.47
S: 0.0000 0.5000 0.5000  2 In 2.42
S: 0.5000 0.0000 0.5000  2 In 2.42



So which one is most stable? That would be (P), about 1043 meV per atom below the next structure.



(P)
Material: HfPa2In
Method: DFT, PBE
State: optimized geometry

Results
- Crystal system: tetragonal
- M_tot: 0.003 μB/f.u.

Cell: 4.0034 4.0034 6.3635 Å, 90.00 90.00 90.00°
Last column: nearest neighbours and their distance in Å.
Atoms (fractional coordinates):
Hf: 0.0000 0.0000 0.0000  2 In 3.18, 8 Pa 3.32
Pa: 0.5000 0.5000 0.2723  1 Pa 2.90, 4 In 3.18
Pa: 0.5000 0.5000 0.7277  1 Pa 2.90, 4 In 3.18
In: 0.0000 0.0000 0.5000  8 Pa 3.18, 2 Hf 3.18



(Q)
Material: HfPa2In
Method: DFT, PBE
State: optimized geometry

Results
- Crystal system: trigonal
- M_tot: 0.000 μB/f.u.

Cell: 11.4579 11.4579 11.4579 Å, 15.84 15.84 15.84°
Last column: nearest neighbours and their distance in Å.
Atoms (fractional coordinates):
Hf: 0.0000 0.0000 0.0000  6 Hf 3.16, 6 Pa 3.32
Pa: 0.2515 0.2515 0.2515  6 Pa 3.16, 3 Hf 3.32, 3 In 3.41
Pa: 0.7485 0.7485 0.7485  6 Pa 3.16, 3 Hf 3.32, 3 In 3.41
In: 0.5000 0.5000 0.5000  6 In 3.16, 6 Pa 3.41



(R)
Material: HfPa2In
Method: DFT, PBE
State: optimized geometry

Results
- Crystal system: tetragonal
- M_tot: 0.000 μB/f.u.

Cell: 4.3721 4.3721 4.9801 Å, 90.00 90.00 90.00°
Last column: nearest neighbours and their distance in Å.
Atoms (fractional coordinates):
Hf: 0.0000 0.0000 0.0000  4 In 3.09, 8 Pa 3.31
Pa: 0.0000 0.5000 0.5000  4 Pa 3.09, 4 Hf 3.31, 4 In 3.31
Pa: 0.5000 0.0000 0.5000  4 Pa 3.09, 4 Hf 3.31, 4 In 3.31
In: 0.5000 0.5000 0.0000  4 Hf 3.09, 8 Pa 3.31



(S)
Material: HfPa2In
Method: DFT, PBE
State: optimized geometry

Results
- Crystal system: tetragonal
- M_tot: 0.000 μB/f.u.

Cell: 3.1057 3.1057 9.8782 Å, 90.00 90.00 90.00°
Last column: nearest neighbours and their distance in Å.
Atoms (fractional coordinates):
Hf: 0.0000 0.0000 0.0000  4 Hf 3.11, 4 In 3.18, 4 Pa 3.30
Pa: 0.0000 0.0000 0.5081  8 Pa 3.11-3.37, 4 In 3.37
Pa: 0.5000 0.5000 0.2493  8 Pa 3.11-3.37, 4 Hf 3.30
In: 0.5000 0.5000 0.7669  4 In 3.11, 4 Hf 3.18, 4 Pa 3.37



So which one is most stable? That would be (R), about 30 meV per atom below the next structure.



(P)
Material: HfPaIn
Method: DFT, PBE
State: optimized geometry

Results
- Crystal system: hexagonal
- M_tot: 0.462 μB/f.u.

Cell: 5.2046 5.2046 3.1032 Å, 90.00 90.00 120.00°
Last column: nearest neighbours and their distance in Å.
Atoms (fractional coordinates):
Hf: 0.0000 0.0000 0.0000  3 In 3.00, 2 Hf 3.10
Pa: 0.3333 0.6667 0.5000  2 Pa 3.10, 6 Hf 3.38, 6 In 3.38
In: 0.6667 0.3333 0.0000  3 Hf 3.00, 2 In 3.10



(Q)
Material: HfPaIn
Method: DFT, PBE
State: optimized geometry

Results
- Crystal system: orthorhombic
- M_tot: 0.000 μB/f.u.

Cell: 8.6675 8.3995 3.1438 Å, 84.23 74.62 21.15°
Last column: nearest neighbours and their distance in Å.
Atoms (fractional coordinates):
Hf: 0.0000 0.0000 0.0000  2 In 3.09, 6 Hf 3.14-3.26, 2 Pa 3.18
Pa: 0.6655 0.6655 0.3345  6 Pa 3.14-3.26, 2 Hf 3.18, 2 In 3.32
In: 0.3410 0.3410 0.6590  2 Hf 3.09, 6 In 3.14-3.26, 2 Pa 3.32



So which one is most stable? That would be (Q), about 77 meV per atom below the next structure.



(P)
Material: HfPaIn
Method: DFT, PBE
State: optimized geometry

Results
- Crystal system: tetragonal
- M_tot: 0.000 μB/f.u.

Cell: 8.2354 8.2354 8.2354 Å, 95.13 95.13 145.22°
Last column: nearest neighbours and their distance in Å.
Atoms (fractional coordinates):
Hf: 0.1790 0.1790 0.3580  2 Pa 2.95, 4 In 3.17
Hf: 0.1790 0.8210 0.0000  2 Pa 2.95, 4 In 3.17
Hf: 0.8210 0.1790 0.0000  2 Pa 2.95, 4 In 3.17
Hf: 0.8210 0.8210 0.6420  2 Pa 2.95, 4 In 3.17
Pa: 0.0000 0.3746 0.3746  1 Pa 2.79, 2 Hf 2.95
Pa: 0.0000 0.6254 0.6254  1 Pa 2.79, 2 Hf 2.95
Pa: 0.3746 0.0000 0.3746  1 Pa 2.79, 2 Hf 2.95
Pa: 0.6254 0.0000 0.6254  1 Pa 2.79, 2 Hf 2.95
In: 0.3029 0.5000 0.8029  2 In 3.10, 2 Pa 3.15, 4 Hf 3.17
In: 0.5000 0.3029 0.8029  2 In 3.10, 2 Pa 3.15, 4 Hf 3.17
In: 0.5000 0.6971 0.1971  2 In 3.10, 2 Pa 3.15, 4 Hf 3.17
In: 0.6971 0.5000 0.1971  2 In 3.10, 2 Pa 3.15, 4 Hf 3.17



(Q)
Material: HfPaIn
Method: DFT, PBE
State: optimized geometry

Results
- Crystal system: tetragonal
- M_tot: 0.000 μB/f.u.

Cell: 7.5804 7.5804 7.5804 Å, 156.14 156.14 33.99°
Last column: nearest neighbours and their distance in Å.
Atoms (fractional coordinates):
Hf: 0.0000 0.0000 0.0000  4 Hf 3.13, 4 In 3.20, 4 Pa 3.25
Pa: 0.6637 0.6637 0.0000  4 Pa 3.13, 4 Hf 3.25, 4 In 3.39
In: 0.3404 0.3404 0.0000  4 In 3.13, 4 Hf 3.20, 4 Pa 3.39



So which one is most stable? That would be (Q), about 438 meV per atom below the next structure.



(P)
Material: HfInPb3
Method: DFT, PBE
State: optimized geometry

Results
- Crystal system: cubic
- M_tot: 0.000 μB/f.u.

Cell: 5.6524 5.6524 5.6524 Å, 90.00 90.00 90.00°
Last column: nearest neighbours and their distance in Å.
Atoms (fractional coordinates):
Hf: 0.0000 0.0000 0.0000  6 Pb 2.83
In: 0.5000 0.5000 0.5000  12 Pb 4.00
Pb: 0.0000 0.0000 0.5000  2 Hf 2.83
Pb: 0.0000 0.5000 0.0000  2 Hf 2.83
Pb: 0.5000 0.0000 0.0000  2 Hf 2.83



(Q)
Material: HfInPb3
Method: DFT, PBE
State: optimized geometry

Results
- Crystal system: cubic
- M_tot: 0.000 μB/f.u.

Cell: 5.6156 5.6156 5.6156 Å, 90.00 90.00 90.00°
Last column: nearest neighbours and their distance in Å.
Atoms (fractional coordinates):
Hf: 0.0000 0.0000 0.0000  12 Pb 3.97
In: 0.5000 0.5000 0.5000  6 Pb 2.81
Pb: 0.0000 0.5000 0.5000  2 In 2.81
Pb: 0.5000 0.0000 0.5000  2 In 2.81
Pb: 0.5000 0.5000 0.0000  2 In 2.81



So which one is most stable? That would be (P), about 723 meV per atom below the next structure.